Entry w
VCd3In: optimized geometry, GGA-PBE.

abc: 5.403 5.403 5.403
angles: 90.00 90.00 90.00
Space group Pm-3m (No. 221)
One atom of each set of equivalent atoms:
V (0.000, 0.000, 0.000) (multiplicity 1)
Cd (0.000, 0.500, 0.500) (multiplicity 3)
In (0.500, 0.500, 0.500) (multiplicity 1)


Entry x
VCd3In: optimized geometry, GGA-PBE.

abc: 5.353 5.353 5.353
angles: 90.00 90.00 90.00
Space group Pm-3m (No. 221)
One atom of each set of equivalent atoms:
V (0.000, 0.000, 0.000) (multiplicity 1)
Cd (0.000, 0.000, 0.500) (multiplicity 3)
In (0.500, 0.500, 0.500) (multiplicity 1)


Most stable = entry x


Entry w
CdIn3W: optimized geometry, GGA-PBE.

abc: 5.392 5.392 5.392
angles: 90.00 90.00 90.00
Space group Pm-3m (No. 221)
One atom of each set of equivalent atoms:
Cd (0.000, 0.000, 0.000) (multiplicity 1)
In (0.000, 0.000, 0.500) (multiplicity 3)
W (0.500, 0.500, 0.500) (multiplicity 1)


Entry x
CdIn3W: optimized geometry, GGA-PBE.

abc: 5.354 5.354 5.354
angles: 90.00 90.00 90.00
Space group Pm-3m (No. 221)
One atom of each set of equivalent atoms:
Cd (0.000, 0.000, 0.000) (multiplicity 1)
In (0.000, 0.500, 0.500) (multiplicity 3)
W (0.500, 0.500, 0.500) (multiplicity 1)


Most stable = entry x


Entry w
Y2Cd3In2: optimized geometry, GGA-PBE.

abc: 11.219 4.684 7.212
angles: 90.00 111.95 90.00
Space group C2/m (No. 12)
One atom of each set of equivalent atoms:
Y (0.149, 0.000, 0.266) (multiplicity 4)
Cd (0.000, 0.500, 0.500) (multiplicity 2)
Cd (0.099, 0.500, 0.930) (multiplicity 4)
In (0.152, 0.000, 0.726) (multiplicity 4)


Entry x
Y2Cd3In2: optimized geometry, GGA-PBE.

abc: 4.674 21.922 3.463
angles: 90.00 90.00 90.00
Space group Cmmm (No. 65)
One atom of each set of equivalent atoms:
Y (0.000, 0.151, 0.000) (multiplicity 4)
Cd (0.000, 0.000, 0.000) (multiplicity 2)
Cd (0.000, 0.431, 0.500) (multiplicity 4)
In (0.000, 0.289, 0.500) (multiplicity 4)


Most stable = entry w


Entry w
Y4CdIn: optimized geometry, GGA-PBE.

abc: 8.967 8.967 8.967
angles: 90.00 90.00 90.00
Space group F-43m (No. 216)
One atom of each set of equivalent atoms:
Y (0.125, 0.125, 0.125) (multiplicity 16)
Cd (0.250, 0.250, 0.750) (multiplicity 4)
In (0.000, 0.000, 0.500) (multiplicity 4)


Entry x
Y4CdIn: optimized geometry, GGA-PBE.

abc: 3.678 5.709 8.785
angles: 90.00 90.00 90.00
Space group Pmmm (No. 47)
One atom of each set of equivalent atoms:
Y (0.000, 0.000, 0.202) (multiplicity 2)
Y (0.500, 0.500, 0.297) (multiplicity 2)
Cd (0.000, 0.500, 0.000) (multiplicity 1)
In (0.500, 0.000, 0.500) (multiplicity 1)


Entry y
Y4CdIn: optimized geometry, GGA-PBE.

abc: 5.160 5.160 7.379
angles: 90.00 90.00 90.00
Space group P4/mmm (No. 123)
One atom of each set of equivalent atoms:
Y (0.000, 0.500, 0.245) (multiplicity 4)
Cd (0.000, 0.000, 0.000) (multiplicity 1)
In (0.500, 0.500, 0.500) (multiplicity 1)


Most stable = entry x


Entry w
ZnCd2In2: optimized geometry, GGA-PBE.

abc: 4.306 4.306 14.118
angles: 90.00 90.00 90.00
Space group I4/mmm (No. 139)
One atom of each set of equivalent atoms:
Zn (0.000, 0.000, 0.000) (multiplicity 2)
Cd (0.000, 0.000, 0.404) (multiplicity 4)
In (0.000, 0.500, 0.250) (multiplicity 4)


Entry x
ZnCd2In2: optimized geometry, GGA-PBE.

abc: 8.518 8.518 3.560
angles: 90.00 90.00 90.00
Space group P4/mbm (No. 127)
One atom of each set of equivalent atoms:
Zn (0.000, 0.000, 0.000) (multiplicity 2)
Cd (0.125, 0.375, 0.500) (multiplicity 4)
In (0.176, 0.676, 0.000) (multiplicity 4)


Most stable = entry x


Entry w
ZnCd2In2: optimized geometry, GGA-PBE.

abc: 7.261 7.261 4.700
angles: 90.00 90.00 90.00
Space group P4/mbm (No. 127)
One atom of each set of equivalent atoms:
Zn (0.000, 0.000, 0.000) (multiplicity 2)
Cd (0.145, 0.355, 0.000) (multiplicity 4)
In (0.166, 0.666, 0.500) (multiplicity 4)


Entry x
ZnCd2In2: optimized geometry, GGA-PBE.

abc: 4.132 4.132 15.286
angles: 90.00 90.00 90.00
Space group I4/mmm (No. 139)
One atom of each set of equivalent atoms:
Zn (0.000, 0.000, 0.000) (multiplicity 2)
Cd (0.000, 0.500, 0.250) (multiplicity 4)
In (0.000, 0.000, 0.404) (multiplicity 4)


Entry y
ZnCd2In2: optimized geometry, GGA-PBE.

abc: 6.878 11.456 6.904
angles: 90.00 117.72 90.00
Space group C2/m (No. 12)
One atom of each set of equivalent atoms:
Zn (0.000, 0.114, 0.000) (multiplicity 4)
Cd (0.082, 0.500, 0.842) (multiplicity 4)
Cd (0.177, 0.000, 0.423) (multiplicity 4)
In (0.213, 0.206, 0.744) (multiplicity 8)


Most stable = entry y


Entry w
Zn2CdIn: optimized geometry, GGA-PBE.

abc: 2.958 4.163 6.566
angles: 90.00 92.59 90.00
Space group P2/m (No. 10)
One atom of each set of equivalent atoms:
Zn (0.013, 0.000, 0.232) (multiplicity 2)
Cd (0.500, 0.500, 0.000) (multiplicity 1)
In (0.500, 0.500, 0.500) (multiplicity 1)


Entry x
Zn2CdIn: optimized geometry, GGA-PBE.

abc: 3.577 4.313 5.557
angles: 90.00 108.01 90.00
Space group Pm (No. 6)
One atom of each set of equivalent atoms:
Zn (0.000, 0.000, 0.000) (multiplicity 1)
Zn (0.141, 0.500, 0.284) (multiplicity 1)
Cd (0.724, 0.000, 0.455) (multiplicity 1)
In (0.417, 0.500, 0.819) (multiplicity 1)


Most stable = entry x


Entry w
Zn2CdIn: optimized geometry, GGA-PBE.

abc: 5.999 8.562 3.122
angles: 90.00 90.23 90.00
Space group C2/m (No. 12)
One atom of each set of equivalent atoms:
Zn (0.250, 0.250, 0.000) (multiplicity 4)
Cd (0.000, 0.000, 0.500) (multiplicity 2)
In (0.000, 0.500, 0.500) (multiplicity 2)


Entry x
Zn2CdIn: optimized geometry, GGA-PBE.

abc: 5.677 3.280 9.156
angles: 90.00 104.86 90.00
Space group Cm (No. 8)
One atom of each set of equivalent atoms:
Zn (0.000, 0.000, 0.000) (multiplicity 2)
Zn (0.163, 0.000, 0.488) (multiplicity 2)
Cd (0.242, 0.500, 0.244) (multiplicity 2)
In (0.082, 0.500, 0.745) (multiplicity 2)


Entry y
Zn2CdIn: optimized geometry, GGA-PBE.

abc: 4.326 4.326 4.245
angles: 90.00 90.00 90.00
Space group P4/mmm (No. 123)
One atom of each set of equivalent atoms:
Zn (0.000, 0.500, 0.000) (multiplicity 2)
Cd (0.000, 0.000, 0.500) (multiplicity 1)
In (0.500, 0.500, 0.500) (multiplicity 1)


Entry z
Zn2CdIn: optimized geometry, GGA-PBE.

abc: 3.423 3.423 7.063
angles: 90.00 90.00 90.00
Space group P4/mmm (No. 123)
One atom of each set of equivalent atoms:
Zn (0.000, 0.000, 0.241) (multiplicity 2)
Cd (0.500, 0.500, 0.000) (multiplicity 1)
In (0.500, 0.500, 0.500) (multiplicity 1)


Most stable = entry w